The following is a PBE-GGA calculation of a relaxed Ca2AlZn crystal, from the Alexandria database.

a b c (Å): 3.699 3.699 7.419
angles (deg): 90.00 90.00 90.00
Fractional coordinates of all 4 atoms:
1 Ca 0.000 0.000 0.246
2 Ca 0.000 0.000 0.754
3 Al 0.500 0.500 0.500
4 Zn 0.500 0.500 0.000

Summary:
total DFT energy (no corrections) = -9.9 eV/cell
space group = P4/mmm (123)
calculated volume = 25.38 Å³ per atom
size of the total moment = 0.000 μB/atom